(1)
VASP calculation (PBE) on a relaxed MgSi2P crystal.

Values from the calculation:
Excess energy over the best structure of this formula in the dataset (meV per atom): 442
Space-group type: No. 225
Energy relative to the elements, uncorrected (meV per atom): 491

```
MgSi2P
1.0
6.396 0.000 0.000
0.000 6.396 0.000
0.000 0.000 6.396
Mg Si P
4 8 4
Direct
0.000 0.000 0.000
0.000 0.500 0.500
0.500 0.000 0.500
0.500 0.500 0.000
0.250 0.250 0.250
0.250 0.250 0.750
0.250 0.750 0.250
0.250 0.750 0.750
0.750 0.250 0.250
0.750 0.250 0.750
0.750 0.750 0.250
0.750 0.750 0.750
0.000 0.000 0.500
0.000 0.500 0.000
0.500 0.000 0.000
0.500 0.500 0.500
```

(2)
VASP calculation (PBE) on a relaxed Pm5Dy2HoTm crystal.

Values from the calculation:
Total energy (eV per formula unit): -40.71
Space-group type: No. 36

```
Pm5Dy2HoTm
1.0
2.814 -10.119 0.000
2.814 10.119 0.000
0.000 0.000 10.647
Pm Dy Ho Tm
10 4 2 2
Direct
0.017 0.983 0.500
0.116 0.884 0.778
0.202 0.798 0.464
0.220 0.780 0.070
0.483 0.517 0.774
0.517 0.483 0.274
0.780 0.220 0.570
0.798 0.202 0.964
0.884 0.116 0.278
0.983 0.017 0.000
0.386 0.614 0.068
0.388 0.612 0.495
0.612 0.388 0.995
0.614 0.386 0.568
0.092 0.908 0.219
0.908 0.092 0.719
0.301 0.699 0.768
0.699 0.301 0.268
```

(3)
VASP calculation (PBE) on a relaxed Nd2ErBe crystal.

Values from the calculation:
Excess energy over the best structure of this formula in the dataset (meV per atom): 553
Space-group type: No. 166

```
Nd2ErBe
1.0
3.476 0.000 0.000
-1.738 3.011 0.000
0.000 0.000 34.893
Nd Er Be
6 3 3
Direct
0.000 0.000 0.085
0.000 0.000 0.915
0.333 0.667 0.582
0.333 0.667 0.751
0.667 0.333 0.249
0.667 0.333 0.418
0.000 0.000 0.500
0.333 0.667 0.167
0.667 0.333 0.833
0.000 0.000 0.000
0.333 0.667 0.667
0.667 0.333 0.333
```

no.,DOS at the Fermi energy (states/eV per cell)
1,9.125
2,28.378
3,13.121